ScInAg | PBE | optimized geometry

```
ScInAg
1.0
3.248 0.000 0.000
-0.022 4.816 0.000
-0.009 -1.450 4.987
Sc In Ag
1 1 1
Direct
0.000 0.000 0.000
0.500 0.000 0.500
0.500 0.500 0.000
```

## Properties
The value obtained for the volume is 26.0 Å³ per atom. The calculation puts the total energy at -3.9644 eV per atom. As for the total moment: 0.00 μB/f.u.

Sc2InAg | PBE | optimized geometry

```
Sc2InAg
1.0
4.293 0.000 0.000
0.000 4.293 0.000
0.000 0.000 20.750
Sc In Ag
8 4 4
Direct
0.247 0.250 0.125
0.250 0.747 0.375
0.250 0.753 0.875
0.253 0.250 0.625
0.747 0.750 0.625
0.750 0.247 0.875
0.750 0.253 0.375
0.753 0.750 0.125
0.000 0.000 0.000
0.000 0.500 0.250
0.500 0.000 0.750
0.500 0.500 0.500
0.000 0.000 0.500
0.000 0.500 0.750
0.500 0.000 0.250
0.500 0.500 0.000
```

## Properties
The value obtained for the volume is 23.9 Å³ per atom. The calculation puts the total energy at -4.4014 eV per atom. As for the total moment: 0.69 μB/f.u.